Record 1
First-principles (GGA-PBE) data for Eu6Ni20P13 after structural relaxation, as listed in Alexandria.

Output
For the formation enthalpy at 0 K, the calculation gives -0.78 eV per atom. The crystal system is hexagonal.

CIF file:
```
data_Eu6Ni20P13
_cell_length_a 12.8097
_cell_length_b 12.8097
_cell_length_c 3.8155
_cell_angle_alpha 90.00
_cell_angle_beta 90.00
_cell_angle_gamma 120.00
_symmetry_space_group_name_H-M 'P -6'
_symmetry_Int_Tables_number 174
_symmetry_space_group_name_Hall 'P -6'
loop_
_atom_site_label
_atom_site_type_symbol
_atom_site_fract_x
_atom_site_fract_y
_atom_site_fract_z
Eu1 Eu 0.0517 0.8530 0.0000
Eu2 Eu 0.5203 0.1357 0.5000
Ni1 Ni 0.0000 0.0000 0.5000
Ni2 Ni 0.0209 0.5975 0.0000
Ni3 Ni 0.0931 0.3495 0.5000
Ni4 Ni 0.1398 0.5619 0.5000
Ni5 Ni 0.2567 0.7361 0.0000
Ni6 Ni 0.3094 0.0786 0.0000
Ni7 Ni 0.3569 0.2502 0.5000
Ni8 Ni 0.6667 0.3333 0.0000
P1 P 0.0604 0.4352 0.0000
P2 P 0.0980 0.7101 0.5000
P3 P 0.1996 0.0514 0.5000
P4 P 0.3333 0.6667 0.5000
P5 P 0.4655 0.2805 0.0000
```



Record 2
First-principles (GGA-PBE) data for EuNi10P6 after structural relaxation, as listed in Alexandria.

Output
For the formation enthalpy at 0 K, the calculation gives -0.64 eV per atom. The crystal system is orthorhombic.

CIF file:
```
data_EuNi10P6
_cell_length_a 15.875
_cell_length_b 6.496
_cell_length_c 8.706
_cell_angle_alpha 90.00
_cell_angle_beta 90.00
_cell_angle_gamma 90.00
_symmetry_space_group_name_H-M 'P n m a'
_symmetry_Int_Tables_number 62
_symmetry_space_group_name_Hall '-P 2ac 2n'
loop_
_atom_site_label
_atom_site_type_symbol
_atom_site_fract_x
_atom_site_fract_y
_atom_site_fract_z
Eu1 Eu 0.248 0.250 0.020
Ni1 Ni 0.042 0.750 0.315
Ni2 Ni 0.057 0.250 0.229
Ni3 Ni 0.075 0.552 0.055
Ni4 Ni 0.078 0.049 0.492
Ni5 Ni 0.082 0.001 0.773
Ni6 Ni 0.207 0.250 0.397
Ni7 Ni 0.209 0.750 0.138
P1 P 0.041 0.750 0.585
P2 P 0.043 0.250 0.951
P3 P 0.148 0.509 0.273
P4 P 0.155 0.250 0.652
P5 P 0.157 0.750 0.891
```



Record 3
First-principles (GGA-PBE) data for Eu9Ni26P12 after structural relaxation, as listed in Alexandria.

Output
For the formation enthalpy at 0 K, the calculation gives -0.67 eV per atom. The crystal system is hexagonal.

CIF file:
```
data_Eu9Ni26P12
_cell_length_a 14.3883
_cell_length_b 14.3883
_cell_length_c 3.8646
_cell_angle_alpha 90.00
_cell_angle_beta 90.00
_cell_angle_gamma 120.00
_symmetry_space_group_name_H-M 'P -6 m 2'
_symmetry_Int_Tables_number 187
_symmetry_space_group_name_Hall 'P -6 2'
loop_
_atom_site_label
_atom_site_type_symbol
_atom_site_fract_x
_atom_site_fract_y
_atom_site_fract_z
Eu1 Eu 0.1801 0.0900 0.0000
Eu2 Eu 0.2423 0.4846 0.5000
Eu3 Eu 0.5220 0.0440 0.5000
Ni1 Ni 0.0000 0.0000 0.5000
Ni2 Ni 0.0069 0.2866 0.5000
Ni3 Ni 0.1404 0.5702 0.0000
Ni4 Ni 0.1430 0.2859 0.0000
Ni5 Ni 0.3333 0.6667 0.0000
Ni6 Ni 0.4074 0.1198 0.0000
Ni7 Ni 0.5347 0.2673 0.5000
Ni8 Ni 0.6116 0.2233 0.0000
P1 P 0.0582 0.3879 0.0000
P2 P 0.0927 0.1853 0.5000
P3 P 0.3614 0.1807 0.5000
```



Record 4
First-principles (GGA-PBE) data for EuNi2P2 after structural relaxation, as listed in Alexandria.

Output
For the formation enthalpy at 0 K, the calculation gives -0.89 eV per atom. The crystal system is tetragonal.

CIF file:
```
data_EuNi2P2
_cell_length_a 3.942
_cell_length_b 3.942
_cell_length_c 9.556
_cell_angle_alpha 90.00
_cell_angle_beta 90.00
_cell_angle_gamma 90.00
_symmetry_space_group_name_H-M 'I 4/m m m'
_symmetry_Int_Tables_number 139
_symmetry_space_group_name_Hall '-I 4 2'
loop_
_atom_site_label
_atom_site_type_symbol
_atom_site_fract_x
_atom_site_fract_y
_atom_site_fract_z
Eu1 Eu 0.000 0.000 0.000
Ni1 Ni 0.000 0.500 0.250
P1 P 0.000 0.000 0.374
```



Record 5
First-principles (GGA-PBE) data for EuNi3P after structural relaxation, as listed in Alexandria.

Output
For the formation enthalpy at 0 K, the calculation gives -0.35 eV per atom. The crystal system is cubic.

CIF file:
```
data_EuNi3P
_cell_length_a 4.328
_cell_length_b 4.328
_cell_length_c 4.328
_cell_angle_alpha 90.00
_cell_angle_beta 90.00
_cell_angle_gamma 90.00
_symmetry_space_group_name_H-M 'P m -3 m'
_symmetry_Int_Tables_number 221
_symmetry_space_group_name_Hall '-P 4 2 3'
loop_
_atom_site_label
_atom_site_type_symbol
_atom_site_fract_x
_atom_site_fract_y
_atom_site_fract_z
Eu1 Eu 0.000 0.000 0.000
Ni1 Ni 0.000 0.500 0.500
P1 P 0.500 0.500 0.500
```



Record 6
First-principles (GGA-PBE) data for PmEuNiP after structural relaxation, as listed in Alexandria.

Output
For the formation enthalpy at 0 K, the calculation gives -0.58 eV per atom. The crystal system is cubic.

CIF file:
```
data_PmEuNiP
_cell_length_a 7.046
_cell_length_b 7.046
_cell_length_c 7.046
_cell_angle_alpha 90.00
_cell_angle_beta 90.00
_cell_angle_gamma 90.00
_symmetry_space_group_name_H-M 'F -4 3 m'
_symmetry_Int_Tables_number 216
_symmetry_space_group_name_Hall 'F -4 2 3'
loop_
_atom_site_label
_atom_site_type_symbol
_atom_site_fract_x
_atom_site_fract_y
_atom_site_fract_z
Pm1 Pm 0.000 0.000 0.000
Eu1 Eu 0.000 0.000 0.500
Ni1 Ni 0.250 0.250 0.750
P1 P 0.250 0.250 0.250
```



Record 7
First-principles (GGA-PBE) data for EuPaNi after structural relaxation, as listed in Alexandria.

Output
For the formation enthalpy at 0 K, the calculation gives 0.02 eV per atom. The crystal system is tetragonal.

CIF file:
```
data_EuPaNi
_cell_length_a 3.503
_cell_length_b 3.503
_cell_length_c 11.702
_cell_angle_alpha 90.00
_cell_angle_beta 90.00
_cell_angle_gamma 90.00
_symmetry_space_group_name_H-M 'I 4 m m'
_symmetry_Int_Tables_number 107
_symmetry_space_group_name_Hall 'I 4 -2'
loop_
_atom_site_label
_atom_site_type_symbol
_atom_site_fract_x
_atom_site_fract_y
_atom_site_fract_z
Eu1 Eu 0.000 0.000 0.000
Pa1 Pa 0.000 0.000 0.283
Ni1 Ni 0.000 0.000 0.691
```



Record 8
First-principles (GGA-PBE) data for EuPaNi2 after structural relaxation, as listed in Alexandria.

Output
For the formation enthalpy at 0 K, the calculation gives -0.13 eV per atom. The crystal system is trigonal. For the energy above the most stable polymorph in this dataset, the calculation gives 120 meV/atom.

CIF file:
```
data_EuPaNi2
_cell_length_a 3.7830
_cell_length_b 3.7830
_cell_length_c 21.4120
_cell_angle_alpha 90.00
_cell_angle_beta 90.00
_cell_angle_gamma 120.00
_symmetry_space_group_name_H-M 'R -3 m'
_symmetry_Int_Tables_number 166
_symmetry_space_group_name_Hall '-R 3 2"'
loop_
_atom_site_label
_atom_site_type_symbol
_atom_site_fract_x
_atom_site_fract_y
_atom_site_fract_z
Eu1 Eu 0.0000 0.0000 0.0000
Pa1 Pa 0.0000 0.0000 0.5000
Ni1 Ni 0.0000 0.0000 0.2379
```



Record 9
First-principles (GGA-PBE) data for EuPaNi2 after structural relaxation, as listed in Alexandria.

Output
For the formation enthalpy at 0 K, the calculation gives -0.25 eV per atom. The crystal system is tetragonal. For the energy above the most stable polymorph in this dataset, the calculation gives 0 meV/atom.

CIF file:
```
data_EuPaNi2
_cell_length_a 3.442
_cell_length_b 3.442
_cell_length_c 7.048
_cell_angle_alpha 90.00
_cell_angle_beta 90.00
_cell_angle_gamma 90.00
_symmetry_space_group_name_H-M 'P 4/m m m'
_symmetry_Int_Tables_number 123
_symmetry_space_group_name_Hall '-P 4 2'
loop_
_atom_site_label
_atom_site_type_symbol
_atom_site_fract_x
_atom_site_fract_y
_atom_site_fract_z
Eu1 Eu 0.000 0.000 0.000
Pa1 Pa 0.000 0.000 0.500
Ni1 Ni 0.500 0.500 0.314
```



Record 10
First-principles (GGA-PBE) data for EuPaNiRh after structural relaxation, as listed in Alexandria.

Output
For the formation enthalpy at 0 K, the calculation gives -0.25 eV per atom. The crystal system is cubic.

CIF file:
```
data_EuPaNiRh
_cell_length_a 6.886
_cell_length_b 6.886
_cell_length_c 6.886
_cell_angle_alpha 90.00
_cell_angle_beta 90.00
_cell_angle_gamma 90.00
_symmetry_space_group_name_H-M 'F -4 3 m'
_symmetry_Int_Tables_number 216
_symmetry_space_group_name_Hall 'F -4 2 3'
loop_
_atom_site_label
_atom_site_type_symbol
_atom_site_fract_x
_atom_site_fract_y
_atom_site_fract_z
Eu1 Eu 0.000 0.000 0.000
Pa1 Pa 0.000 0.000 0.500
Ni1 Ni 0.250 0.250 0.250
Rh1 Rh 0.250 0.250 0.750
```



Record 11
First-principles (GGA-PBE) data for EuNiPb2 after structural relaxation, as listed in Alexandria.

Output
For the formation enthalpy at 0 K, the calculation gives 0.14 eV per atom. The crystal system is trigonal.

CIF file:
```
data_EuNiPb2
_cell_length_a 3.7987
_cell_length_b 3.7987
_cell_length_c 29.3241
_cell_angle_alpha 90.00
_cell_angle_beta 90.00
_cell_angle_gamma 120.00
_symmetry_space_group_name_H-M 'R -3 m'
_symmetry_Int_Tables_number 166
_symmetry_space_group_name_Hall '-R 3 2"'
loop_
_atom_site_label
_atom_site_type_symbol
_atom_site_fract_x
_atom_site_fract_y
_atom_site_fract_z
Eu1 Eu 0.0000 0.0000 0.0000
Ni1 Ni 0.0000 0.0000 0.5000
Pb1 Pb 0.0000 0.0000 0.1135
```



Record 12
First-principles (GGA-PBE) data for Eu2NiPb after structural relaxation, as listed in Alexandria.

Output
For the formation enthalpy at 0 K, the calculation gives -0.26 eV per atom. The crystal system is tetragonal.

CIF file:
```
data_Eu2NiPb
_cell_length_a 3.560
_cell_length_b 3.560
_cell_length_c 8.408
_cell_angle_alpha 90.00
_cell_angle_beta 90.00
_cell_angle_gamma 90.00
_symmetry_space_group_name_H-M 'P 4/m m m'
_symmetry_Int_Tables_number 123
_symmetry_space_group_name_Hall '-P 4 2'
loop_
_atom_site_label
_atom_site_type_symbol
_atom_site_fract_x
_atom_site_fract_y
_atom_site_fract_z
Eu1 Eu 0.000 0.000 0.207
Ni1 Ni 0.500 0.500 0.000
Pb1 Pb 0.500 0.500 0.500
```